Record 1
VASP calculation (PBE) on CePmNi after structural relaxation.

a b c (Å): 3.8119 5.5323 7.3317
angles (deg): 81.71 89.94 89.97
Last column: nearest neighbours and their distance in Å.
Fractional positions:
Ce  0.2488  0.3142  0.1653  4 Ni 2.66-2.97
Ce  0.7512  0.6858  0.8347  4 Ni 2.66-2.97
Pm  0.2507  0.2220  0.6487  3 Ni 2.96-3.27
Pm  0.7493  0.7780  0.3513  3 Ni 2.96-3.27
Ni  0.2501  0.8491  0.0383  2 Ni 2.54, 2 Ce 2.66
Ni  0.7499  0.1509  0.9617  2 Ni 2.54, 2 Ce 2.66

## Properties
As for the space group: P-1 (2). Its mass density is 7.46 g/cm³. As for the excess energy over the best structure of this formula in the dataset: 0 meV/atom. Its final energy is -5.630 eV per atom. For the energy of formation, the calculation gives -0.14 eV per atom.

---

Record 2
VASP calculation (PBE) on Y3Pu2ThSe6 after structural relaxation.

a b c (Å): 9.2494 9.2494 8.3176
angles (deg): 103.72 103.72 25.56
Last column: nearest neighbours and their distance in Å.
Fractional positions:
Y  0.0000  0.0000  0.0000  6 Se 2.86-2.91
Y  0.3338  0.3338  0.6668  6 Se 2.87-2.91
Y  0.6662  0.6662  0.3332  6 Se 2.87-2.91
Pu  0.3343  0.3343  0.1684  6 Se 2.93-2.94
Pu  0.6657  0.6657  0.8316  6 Se 2.93-2.94
Th  0.0000  0.0000  0.5000  6 Se 2.97
Se  0.1664  0.1664  0.0852  3 Y 2.91, 3 Pu 2.94
Se  0.1699  0.1699  0.5812  3 Y 2.87-2.89, 2 Pu 2.93, 1 Th 2.97
Se  0.4985  0.4985  0.7585  3 Y 2.86-2.88, 1 Pu 2.93, 2 Th 2.97
Se  0.5015  0.5015  0.2415  3 Y 2.86-2.88, 1 Pu 2.93, 2 Th 2.97
Se  0.8301  0.8301  0.4188  3 Y 2.87-2.89, 2 Pu 2.93, 1 Th 2.97
Se  0.8336  0.8336  0.9148  3 Y 2.91, 3 Pu 2.94

## Properties
As for the space group: C2/m (12). The uncorrected formation energy is -1.667 eV/atom. Its mass density is 8.14 g/cm³. Its final energy is -8.032 eV per atom.

---

Record 3
VASP calculation (PBE) on Ti2VHIr after structural relaxation.

a b c (Å): 4.3119 4.3119 3.3214
angles (deg): 90.00 90.00 90.00
Last column: nearest neighbours and their distance in Å.
Fractional positions:
Ti  0.0000  0.5000  0.0000  2 H 2.16
Ti  0.5000  0.0000  0.0000  2 H 2.16
V  0.0000  0.0000  0.5000  2 H 1.66
H  0.0000  0.0000  0.0000  2 V 1.66
Ir  0.5000  0.5000  0.5000  8 Ti 2.72

## Properties
As for the space group: P4/mmm (123). Its mass density is 9.14 g/cm³. As for the excess energy over the best structure of this formula in the dataset: 0 meV/atom. Its final energy is -7.903 eV per atom.

---

Record 4
VASP calculation (PBE) on RbAlTlO4 after structural relaxation.

a b c (Å): 5.8036 5.8829 7.6760
angles (deg): 90.00 108.57 90.00
Last column: nearest neighbours and their distance in Å.
Fractional positions:
Rb  0.2043  0.2500  0.4412  2 O 2.74-2.84
Rb  0.7957  0.7500  0.5588  2 O 2.74-2.84
Al  0.2324  0.7500  0.1525  4 O 1.77-1.80
Al  0.7676  0.2500  0.8475  4 O 1.77-1.80
Tl  0.3091  0.2500  0.9564  6 O 2.26-2.35
Tl  0.6909  0.7500  0.0436  6 O 2.26-2.35
O  0.0071  0.7500  0.9323  1 Al 1.78
O  0.0417  0.7500  0.2920  1 Al 1.77
O  0.4531  0.5274  0.1748  1 Al 1.80
O  0.4531  0.9726  0.1748  1 Al 1.80
O  0.5469  0.0274  0.8252  1 Al 1.80
O  0.5469  0.4726  0.8252  1 Al 1.80
O  0.9583  0.2500  0.7080  1 Al 1.77
O  0.9929  0.2500  0.0677  1 Al 1.78

## Properties
As for the space group: P2_1/m (11). The uncorrected formation energy is -1.439 eV/atom. Its mass density is 5.09 g/cm³. Its final energy is -5.283 eV per atom.

---

Record 5
VASP calculation (PBE) on VTe2RhN after structural relaxation.

a b c (Å): 5.2590 5.2590 3.5541
angles (deg): 90.00 90.00 90.00
Last column: nearest neighbours and their distance in Å.
Fractional positions:
V  0.0000  0.0000  0.0000  2 N 1.78
Te  0.0000  0.5000  0.0000  2 V 2.63
Te  0.5000  0.0000  0.0000  2 V 2.63
Rh  0.5000  0.5000  0.5000  8 Te 3.17, 2 Rh 3.55
N  0.0000  0.0000  0.5000  2 V 1.78

## Properties
As for the space group: P4/mmm (123). The uncorrected formation energy is 0.314 eV/atom. Its mass density is 7.15 g/cm³. As for the excess energy over the best structure of this formula in the dataset: 0 meV/atom. Its final energy is -5.901 eV per atom.

---

Record 6
VASP calculation (PBE) on TbNd2YTl2 after structural relaxation.

a b c (Å): 5.1760 10.2291 6.8880
angles (deg): 90.00 90.00 90.00
Last column: nearest neighbours and their distance in Å.
Fractional positions:
Tb  0.0000  0.1834  0.0000  4 Tl 3.18-3.26, 2 Y 3.54
Tb  0.0000  0.8166  0.5000  4 Tl 3.18-3.26, 2 Y 3.54
Nd  0.0000  0.4574  0.3776  5 Tl 3.31-3.62, 4 Nd 3.51-3.55
Nd  0.0000  0.5426  0.8776  5 Tl 3.31-3.62, 4 Nd 3.51-3.55
Nd  0.5000  0.3127  0.6461  5 Tl 3.28-3.66, 2 Nd 3.51
Nd  0.5000  0.6873  0.1461  5 Tl 3.28-3.66, 2 Nd 3.51
Y  0.5000  0.0416  0.2798  5 Tl 3.25-3.54, 2 Tb 3.54, 2 Y 3.55
Y  0.5000  0.9584  0.7798  5 Tl 3.25-3.54, 2 Tb 3.54, 2 Y 3.55
Tl  0.0000  0.1267  0.5345  2 Tb 3.18-3.26, 4 Y 3.25-3.54, 3 Nd 3.30-3.55
Tl  0.0000  0.8733  0.0345  2 Tb 3.18-3.26, 4 Y 3.25-3.54, 3 Nd 3.30-3.55
Tl  0.5000  0.3565  0.1184  2 Tb 3.24, 6 Nd 3.28-3.62, 1 Y 3.41
Tl  0.5000  0.6435  0.6184  2 Tb 3.24, 6 Nd 3.28-3.62, 1 Y 3.41

## Properties
As for the space group: Pmc2_1 (26). Its mass density is 8.61 g/cm³. Its final energy is -4.507 eV per atom. For the energy of formation, the calculation gives -0.28 eV per atom.

---

Record 7
VASP calculation (PBE) on SrYC after structural relaxation.

a b c (Å): 9.6600 9.6600 10.0997
angles (deg): 91.28 91.28 24.02
Last column: nearest neighbours and their distance in Å.
Fractional positions:
Sr  0.0788  0.0788  0.3702  1 C 2.47
Sr  0.3991  0.3991  0.1386  2 C 2.76
Sr  0.6009  0.6009  0.8614  2 C 2.76
Sr  0.9212  0.9212  0.6298  1 C 2.47
Y  0.2197  0.2197  0.1211  4 C 2.49-2.51
Y  0.2275  0.2275  0.6261  3 C 2.34-2.59
Y  0.7725  0.7725  0.3739  3 C 2.34-2.59
Y  0.7803  0.7803  0.8789  4 C 2.49-2.51
C  0.2006  0.2006  0.8759  4 Y 2.49-2.59, 2 Sr 2.76
C  0.2094  0.2094  0.3675  3 Y 2.34-2.50, 1 Sr 2.47
C  0.7906  0.7906  0.6325  3 Y 2.34-2.50, 1 Sr 2.47
C  0.7994  0.7994  0.1241  4 Y 2.49-2.59, 2 Sr 2.76

## Properties
As for the space group: C2/m (12). Its mass density is 3.26 g/cm³. Its final energy is -5.709 eV per atom. For the energy of formation, the calculation gives 0.08 eV per atom.

---

Record 8
VASP calculation (PBE) on Rb2CaV after structural relaxation.

a b c (Å): 6.5142 6.5142 6.5142
angles (deg): 60.00 60.00 60.00
Last column: nearest neighbours and their distance in Å.
Fractional positions:
Rb  0.2500  0.2500  0.2500  4 Ca 3.99, 4 V 3.99
Rb  0.7500  0.7500  0.7500  4 Ca 3.99, 4 V 3.99
Ca  0.0000  0.0000  0.0000  8 Rb 3.99
V  0.5000  0.5000  0.5000  8 Rb 3.99

## Properties
As for the space group: Fm-3m (225). Its mass density is 2.23 g/cm³. As for the excess energy over the best structure of this formula in the dataset: 29 meV/atom. Its final energy is -2.231 eV per atom. For the energy of formation, the calculation gives 1.03 eV per atom.

---

- final energy of number 8 (Rb2CaV)?
  -2.231 eV per atom

---

Copy entry 6 word for word.
VASP calculation (PBE) on TbNd2YTl2 after structural relaxation.

a b c (Å): 5.1760 10.2291 6.8880
angles (deg): 90.00 90.00 90.00
Last column: nearest neighbours and their distance in Å.
Fractional positions:
Tb  0.0000  0.1834  0.0000  4 Tl 3.18-3.26, 2 Y 3.54
Tb  0.0000  0.8166  0.5000  4 Tl 3.18-3.26, 2 Y 3.54
Nd  0.0000  0.4574  0.3776  5 Tl 3.31-3.62, 4 Nd 3.51-3.55
Nd  0.0000  0.5426  0.8776  5 Tl 3.31-3.62, 4 Nd 3.51-3.55
Nd  0.5000  0.3127  0.6461  5 Tl 3.28-3.66, 2 Nd 3.51
Nd  0.5000  0.6873  0.1461  5 Tl 3.28-3.66, 2 Nd 3.51
Y  0.5000  0.0416  0.2798  5 Tl 3.25-3.54, 2 Tb 3.54, 2 Y 3.55
Y  0.5000  0.9584  0.7798  5 Tl 3.25-3.54, 2 Tb 3.54, 2 Y 3.55
Tl  0.0000  0.1267  0.5345  2 Tb 3.18-3.26, 4 Y 3.25-3.54, 3 Nd 3.30-3.55
Tl  0.0000  0.8733  0.0345  2 Tb 3.18-3.26, 4 Y 3.25-3.54, 3 Nd 3.30-3.55
Tl  0.5000  0.3565  0.1184  2 Tb 3.24, 6 Nd 3.28-3.62, 1 Y 3.41
Tl  0.5000  0.6435  0.6184  2 Tb 3.24, 6 Nd 3.28-3.62, 1 Y 3.41

## Properties
As for the space group: Pmc2_1 (26). Its mass density is 8.61 g/cm³. Its final energy is -4.507 eV per atom. For the energy of formation, the calculation gives -0.28 eV per atom.

---

- What is the mass density in the third record?
  9.14 g/cm³

---

- Among the records above, which one has the highest final energy?
  Rb2CaV